The following is a DFT calculation (PBE-GGA) of a relaxed structure of LaReSe.

abc: 3.264 3.264 7.097
angles: 90.00 90.00 120.00
Sites, in units of the cell vectors:
Re1 0.667 0.333 0.385
Se1 0.333 0.667 0.610
La1 0.000 0.000 0.005

Computed properties:
DFT total energy in eV/atom: -6.78
Magnetic moment in μB/cell: 0.000
Raw formation energy in eV/atom: 0.1733
Offset from the most stable computed form in eV/f.u.: 1.12


The following is a DFT calculation (PBE-GGA) of a relaxed structure of LaReSe2.

abc: 5.183 5.183 5.183
angles: 134.37 113.27 84.58
Sites, in units of the cell vectors:
Se1 0.446 0.446 0.000
Se2 0.054 0.054 0.000
La1 0.750 0.250 0.500
Re1 0.250 0.750 0.500

Computed properties:
DFT total energy in eV/atom: -6.69
Magnetic moment in μB/cell: 0.000
Raw formation energy in eV/atom: -0.6026
Offset from the most stable computed form in eV/f.u.: 0.47


The following is a DFT calculation (PBE-GGA) of a relaxed structure of LaReSe2.

abc: 4.188 4.188 6.044
angles: 69.73 69.73 59.99
Sites, in units of the cell vectors:
Se1 0.977 0.977 0.068
Se2 0.523 0.523 0.432
La1 0.750 0.750 0.750
Re1 0.250 0.250 0.250

Computed properties:
DFT total energy in eV/atom: -6.81
Magnetic moment in μB/cell: 0.000
Raw formation energy in eV/atom: -0.7193
Offset from the most stable computed form in eV/f.u.: 0.00